# 1
DFT (PBE) results for a geometry-optimized LaZn2GeAu structure.

Results
Density of states at the Fermi level: 1.66 states/eV/f.u.
ρ: 8788 kg/m3
Symmetry: No. 44

abc: 4.3058 4.3486 10.8849
angles: 90.00 90.00 90.00
Closest atoms and distances in Å follow each position.
Atoms (fractional coordinates):
La 0.0000 0.0000 0.0000  4 Ge 3.28, 8 Zn 3.32-3.48, 4 Au 3.45-3.50
La 0.5000 0.5000 0.5000  4 Ge 3.28, 8 Zn 3.32-3.48, 4 Au 3.45-3.50
Zn 0.0000 0.0000 0.3810  1 Ge 2.47, 2 Au 2.59, 2 Zn 2.60
Zn 0.0000 0.5000 0.2496  2 Zn 2.60, 2 Ge 2.65
Zn 0.5000 0.0000 0.7496  2 Zn 2.60, 2 Ge 2.65
Zn 0.5000 0.5000 0.8810  1 Ge 2.47, 2 Au 2.59, 2 Zn 2.60
Ge 0.0000 0.0000 0.6082  3 Zn 2.47-2.65, 2 Au 2.65
Ge 0.5000 0.5000 0.1082  3 Zn 2.47-2.65, 2 Au 2.65
Au 0.0000 0.5000 0.7480  2 Zn 2.59, 2 Ge 2.65
Au 0.5000 0.0000 0.2480  2 Zn 2.59, 2 Ge 2.65

=====

# 2
DFT (PBE) results for a geometry-optimized La2ZnGe3Au4 structure.

Results
Density of states at the Fermi level: 4.90 states/eV/f.u.
ρ: 10511 kg/m3
Symmetry: No. 115

abc: 4.4438 4.4438 10.7924
angles: 90.00 90.00 90.00
Closest atoms and distances in Å follow each position.
Atoms (fractional coordinates):
La 0.0000 0.5000 0.2432  6 Ge 3.35-3.55, 8 Au 3.43-3.44, 2 Zn 3.55
La 0.5000 0.0000 0.7568  6 Ge 3.35-3.55, 8 Au 3.43-3.44, 2 Zn 3.55
Zn 0.0000 0.0000 0.5000  4 Au 2.62
Ge 0.0000 0.5000 0.8635  5 Au 2.53-2.67
Ge 0.5000 0.0000 0.1365  5 Au 2.53-2.67
Ge 0.5000 0.5000 0.5000  4 Au 2.62
Au 0.0000 0.0000 0.0000  4 Ge 2.67
Au 0.0000 0.5000 0.6295  3 Ge 2.53-2.62, 2 Zn 2.62
Au 0.5000 0.0000 0.3705  3 Ge 2.53-2.62, 2 Zn 2.62
Au 0.5000 0.5000 0.0000  4 Ge 2.67

=====

# 3
DFT (PBE) results for a geometry-optimized LaZnGeAu structure.

Results
Density of states at the Fermi level: 1.44 states/eV/f.u.
ρ: 8905 kg/m3
Symmetry: No. 216

abc: 7.0706 7.0706 7.0706
angles: 90.00 90.00 90.00
Closest atoms and distances in Å follow each position.
Atoms (fractional coordinates):
La 0.0000 0.0000 0.0000  4 Ge 3.06, 4 Au 3.06
La 0.0000 0.5000 0.5000  4 Ge 3.06, 4 Au 3.06
La 0.5000 0.0000 0.5000  4 Ge 3.06, 4 Au 3.06
La 0.5000 0.5000 0.0000  4 Ge 3.06, 4 Au 3.06
Zn 0.0000 0.0000 0.5000  4 Ge 3.06, 4 Au 3.06
Zn 0.0000 0.5000 0.0000  4 Ge 3.06, 4 Au 3.06
Zn 0.5000 0.0000 0.0000  4 Ge 3.06, 4 Au 3.06
Zn 0.5000 0.5000 0.5000  4 Au 3.06, 4 Ge 3.06
Ge 0.2500 0.2500 0.7500  4 La 3.06, 4 Zn 3.06
Ge 0.2500 0.7500 0.2500  4 La 3.06, 4 Zn 3.06
Ge 0.7500 0.2500 0.2500  4 La 3.06, 4 Zn 3.06
Ge 0.7500 0.7500 0.7500  4 La 3.06, 4 Zn 3.06
Au 0.2500 0.2500 0.2500  4 La 3.06, 4 Zn 3.06
Au 0.2500 0.7500 0.7500  4 La 3.06, 4 Zn 3.06
Au 0.7500 0.2500 0.7500  4 La 3.06, 4 Zn 3.06
Au 0.7500 0.7500 0.2500  4 La 3.06, 4 Zn 3.06

=====

# 4
DFT (PBE) results for a geometry-optimized La2Zn4GeAu3 structure.

Results
Density of states at the Fermi level: 5.82 states/eV/f.u.
ρ: 9496 kg/m3
Symmetry: No. 115

abc: 4.4183 4.4183 10.7756
angles: 90.00 90.00 90.00
Closest atoms and distances in Å follow each position.
Atoms (fractional coordinates):
La 0.0000 0.5000 0.2452  8 Zn 3.36-3.52, 6 Au 3.38-3.44, 2 Ge 3.44
La 0.5000 0.0000 0.7548  8 Zn 3.36-3.52, 6 Au 3.38-3.44, 2 Ge 3.44
Zn 0.0000 0.0000 0.5000  4 Au 2.64
Zn 0.0000 0.5000 0.8706  3 Au 2.54-2.61, 2 Ge 2.61
Zn 0.5000 0.0000 0.1294  3 Au 2.54-2.61, 2 Ge 2.61
Zn 0.5000 0.5000 0.5000  4 Au 2.64
Ge 0.5000 0.5000 0.0000  4 Zn 2.61
Au 0.0000 0.0000 0.0000  4 Zn 2.61
Au 0.0000 0.5000 0.6347  5 Zn 2.54-2.64
Au 0.5000 0.0000 0.3653  5 Zn 2.54-2.64

=====

# 5
DFT (PBE) results for a geometry-optimized La2Zn3GeAu4 structure.

Results
Density of states at the Fermi level: 6.64 states/eV/f.u.
ρ: 10418 kg/m3
Symmetry: No. 115

abc: 4.4730 4.4730 10.6317
angles: 90.00 90.00 90.00
Closest atoms and distances in Å follow each position.
Atoms (fractional coordinates):
La 0.0000 0.5000 0.2447  8 Au 3.38-3.52, 2 Ge 3.43, 6 Zn 3.43-3.44
La 0.5000 0.0000 0.7553  8 Au 3.38-3.52, 2 Ge 3.43, 6 Zn 3.43-3.44
Zn 0.0000 0.0000 0.0000  4 Au 2.65
Zn 0.0000 0.5000 0.6284  5 Au 2.54-2.62
Zn 0.5000 0.0000 0.3716  5 Au 2.54-2.62
Ge 0.5000 0.5000 0.0000  4 Au 2.65
Au 0.0000 0.0000 0.5000  4 Zn 2.62
Au 0.0000 0.5000 0.8670  3 Zn 2.54-2.65, 2 Ge 2.65
Au 0.5000 0.0000 0.1330  3 Zn 2.54-2.65, 2 Ge 2.65
Au 0.5000 0.5000 0.5000  4 Zn 2.62

=====

# 6
DFT (PBE) results for a geometry-optimized La2Zn3Ge4Au structure.

Results
Density of states at the Fermi level: 3.56 states/eV/f.u.
ρ: 7783 kg/m3
Symmetry: No. 115

abc: 4.4515 4.4515 10.3531
angles: 90.00 90.00 90.00
Closest atoms and distances in Å follow each position.
Atoms (fractional coordinates):
La 0.0000 0.5000 0.2472  8 Ge 3.36-3.39, 6 Zn 3.39-3.44, 2 Au 3.44
La 0.5000 0.0000 0.7528  8 Ge 3.36-3.39, 6 Zn 3.39-3.44, 2 Au 3.44
Zn 0.0000 0.5000 0.8748  5 Ge 2.44-2.58
Zn 0.5000 0.0000 0.1252  5 Ge 2.44-2.58
Zn 0.5000 0.5000 0.5000  4 Ge 2.65
Ge 0.0000 0.0000 0.0000  4 Zn 2.58
Ge 0.0000 0.5000 0.6387  3 Zn 2.44-2.65, 2 Au 2.65
Ge 0.5000 0.0000 0.3613  3 Zn 2.44-2.65, 2 Au 2.65
Ge 0.5000 0.5000 0.0000  4 Zn 2.58
Au 0.0000 0.0000 0.5000  4 Ge 2.65

=====

# 7
DFT (PBE) results for a geometry-optimized La2ZnGeAu structure.

Results
Density of states at the Fermi level: 7.33 states/eV/f.u.
ρ: 6272 kg/m3
Energy above the most stable polymorph in this dataset: 0.074 eV/atom
Symmetry: No. 123

abc: 5.8376 5.8376 4.7613
angles: 90.00 90.00 90.00
Closest atoms and distances in Å follow each position.
Atoms (fractional coordinates):
La 0.0000 0.5000 0.0000  2 Au 2.92
La 0.5000 0.0000 0.0000  2 Au 2.92
Zn 0.0000 0.0000 0.5000  8 La 3.77, 4 Ge 4.13
Ge 0.5000 0.5000 0.5000  2 Au 2.38
Au 0.5000 0.5000 0.0000  2 Ge 2.38

=====

# 8
DFT (PBE) results for a geometry-optimized La2ZnGeAu structure.

Results
Density of states at the Fermi level: 4.92 states/eV/f.u.
ρ: 6887 kg/m3
Energy above the most stable polymorph in this dataset: 0.000 eV/atom
Symmetry: No. 123

abc: 5.7371 5.7371 4.4890
angles: 90.00 90.00 90.00
Closest atoms and distances in Å follow each position.
Atoms (fractional coordinates):
La 0.0000 0.5000 0.0000  2 Zn 2.87
La 0.5000 0.0000 0.0000  2 Zn 2.87
Zn 0.0000 0.0000 0.0000  2 Ge 2.24
Ge 0.0000 0.0000 0.5000  2 Zn 2.24
Au 0.5000 0.5000 0.5000  8 La 3.64, 4 Ge 4.06

=====

# 9
DFT (PBE) results for a geometry-optimized LaZr2GeAu structure.

Results
Density of states at the Fermi level: 4.39 states/eV/f.u.
ρ: 6395 kg/m3
Symmetry: No. 123

abc: 5.1982 5.1982 5.6792
angles: 90.00 90.00 90.00
Closest atoms and distances in Å follow each position.
Atoms (fractional coordinates):
La 0.0000 0.0000 0.0000  2 Au 2.84
Zr 0.0000 0.5000 0.5000  2 Au 2.60
Zr 0.5000 0.0000 0.5000  2 Au 2.60
Ge 0.5000 0.5000 0.0000  4 La 3.68, 8 Zr 3.85
Au 0.0000 0.0000 0.5000  4 Zr 2.60, 2 La 2.84

=====

# 10
DFT (PBE) results for a geometry-optimized Li2GeAu2 structure.

Results
Density of states at the Fermi level: 2.26 states/eV/f.u.
ρ: 8960 kg/m3
Energy above the most stable polymorph in this dataset: 0.264 eV/atom
Symmetry: No. 139

abc: 3.6673 3.6673 13.2411
angles: 90.00 90.00 90.00
Closest atoms and distances in Å follow each position.
Atoms (fractional coordinates):
Li 0.0000 0.5000 0.2500  4 Li 2.59, 4 Au 2.64
Li 0.0000 0.5000 0.7500  4 Li 2.59, 4 Au 2.64
Li 0.5000 0.0000 0.2500  4 Li 2.59, 4 Au 2.64
Li 0.5000 0.0000 0.7500  4 Li 2.59, 4 Au 2.64
Ge 0.0000 0.0000 0.0000  8 Au 2.95
Ge 0.5000 0.5000 0.5000  8 Au 2.95
Au 0.0000 0.0000 0.3932  4 Li 2.64, 1 Au 2.83, 4 Ge 2.95
Au 0.0000 0.0000 0.6068  4 Li 2.64, 1 Au 2.83, 4 Ge 2.95
Au 0.5000 0.5000 0.1068  4 Li 2.64, 1 Au 2.83, 4 Ge 2.95
Au 0.5000 0.5000 0.8932  4 Li 2.64, 1 Au 2.83, 4 Ge 2.95

=====

# 11
DFT (PBE) results for a geometry-optimized Li7GeAu2 structure.

Results
Density of states at the Fermi level: 3.07 states/eV/f.u.
ρ: 4170 kg/m3
Symmetry: No. 65

abc: 7.5117 7.5117 4.1938
angles: 90.00 90.00 119.89
Closest atoms and distances in Å follow each position.
Atoms (fractional coordinates):
Li 0.0000 0.0000 0.0000  2 Au 2.56, 4 Li 2.81
Li 0.2105 0.4315 0.0000  2 Au 2.66-2.85, 5 Li 2.69-2.87, 2 Ge 2.88
Li 0.2948 0.7052 0.5000  2 Au 2.46, 1 Ge 2.67
Li 0.4315 0.2105 0.0000  2 Au 2.66-2.85, 5 Li 2.69-2.87, 2 Ge 2.88
Li 0.5685 0.7895 0.0000  2 Au 2.66-2.85, 5 Li 2.69-2.87, 2 Ge 2.88
Li 0.7052 0.2948 0.5000  2 Au 2.46, 1 Ge 2.67
Li 0.7895 0.5685 0.0000  2 Au 2.66-2.85, 5 Li 2.69-2.87, 2 Ge 2.88
Ge 0.5000 0.5000 0.5000  10 Li 2.67-2.88
Au 0.1966 0.8034 0.0000  5 Li 2.46-2.66
Au 0.8034 0.1966 0.0000  5 Li 2.46-2.66

=====

# 12
DFT (PBE) results for a geometry-optimized Li2Ge2Au3 structure.

Results
Density of states at the Fermi level: 1.40 states/eV/f.u.
ρ: 9507 kg/m3
Energy above the most stable polymorph in this dataset: 0.015 eV/atom
Symmetry: No. 12

abc: 9.5184 4.5265 6.3775
angles: 90.00 107.54 90.00
Closest atoms and distances in Å follow each position.
Atoms (fractional coordinates):
Li 0.1644 0.0000 0.3078  5 Au 2.81-3.06, 1 Ge 3.00
Li 0.3356 0.5000 0.6922  5 Au 2.81-3.06, 1 Ge 3.00
Li 0.6644 0.5000 0.3078  5 Au 2.81-3.06, 1 Ge 3.00
Li 0.8356 0.0000 0.6922  5 Au 2.81-3.06, 1 Ge 3.00
Ge 0.1127 0.5000 0.9390  1 Ge 2.49, 4 Au 2.61-2.68
Ge 0.3873 0.0000 0.0610  1 Ge 2.49, 4 Au 2.61-2.68
Ge 0.6127 0.0000 0.9390  1 Ge 2.49, 4 Au 2.61-2.68
Ge 0.8873 0.5000 0.0610  1 Ge 2.49, 4 Au 2.61-2.68
Au 0.0000 0.5000 0.5000  2 Ge 2.68, 4 Au 2.83
Au 0.1390 0.0000 0.7417  3 Ge 2.61-2.64, 2 Li 2.81-2.85, 2 Au 2.83
Au 0.3610 0.5000 0.2583  3 Ge 2.61-2.64, 2 Li 2.81-2.85, 2 Au 2.83
Au 0.5000 0.0000 0.5000  2 Ge 2.68, 4 Au 2.83
Au 0.6390 0.5000 0.7417  3 Ge 2.61-2.64, 2 Li 2.81-2.85, 2 Au 2.83
Au 0.8610 0.0000 0.2583  3 Ge 2.61-2.64, 2 Li 2.81-2.85, 2 Au 2.83

=====

ΔH_f (0 K) values (in eV per atom) by entry order: -0.555; -0.624; -0.463; -0.533; -0.563; -0.509; -0.019; -0.093; 0.383; -0.144; -0.166; -0.276.